Below is CsSrCo2Cl8 after structural relaxation, with properties calculated at the GGA-PBE level.

a = 10.6241 Å, b = 10.6241 Å, c = 10.6241 Å
α = 36.61°, β = 36.61°, γ = 36.61°
Positions (direct):
Cs 0.0000 0.0000 0.0000
Sr 0.5000 0.5000 0.5000
Co 0.2499 0.2499 0.2499
Co 0.7501 0.7501 0.7501
Cl 0.0820 0.7912 0.4504
Cl 0.2088 0.5496 0.9180
Cl 0.3233 0.3233 0.3233
Cl 0.4504 0.0820 0.7912
Cl 0.5496 0.9180 0.2088
Cl 0.6767 0.6767 0.6767
Cl 0.7912 0.4504 0.0820
Cl 0.9180 0.2088 0.5496

Values from the calculation:
- DOS at the Fermi energy (states/eV per atom) = 1.2082
- symmetry = R-3, No. 148
- spin magnetization (μB/f.u.) = 7.00
- energy (eV for the cell shown) = -47.0
- density (g cm⁻³) = 2.705
- raw formation energy (eV per atom) = -1.2935


Below is Cs2TaCoCl6 after structural relaxation, with properties calculated at the GGA-PBE level.

a = 7.1848 Å, b = 7.1848 Å, c = 7.1848 Å
α = 120.06°, β = 120.06°, γ = 89.89°
Positions (direct):
Cs 0.2500 0.7500 0.5000
Cs 0.7500 0.2500 0.5000
Ta 0.0000 0.0000 0.0000
Co 0.5000 0.5000 0.0000
Cl 0.2469 0.2469 0.0000
Cl 0.2472 0.2472 0.4943
Cl 0.2472 0.7528 0.0000
Cl 0.7528 0.2472 0.0000
Cl 0.7531 0.7531 0.0000
Cl 0.7528 0.7528 0.5057

Values from the calculation:
- DOS at the Fermi energy (states/eV per atom) = 1.1499
- symmetry = I4/mmm, No. 139
- spin magnetization (μB/f.u.) = 4.00
- energy (eV for the cell shown) = -43.2
- density (g cm⁻³) = 4.553
- raw formation energy (eV per atom) = -1.1445


Below is CsTbCo2Cl8 after structural relaxation, with properties calculated at the GGA-PBE level.

a = 10.7889 Å, b = 10.7889 Å, c = 10.7889 Å
α = 35.25°, β = 35.25°, γ = 35.25°
Positions (direct):
Cs 0.0000 0.0000 0.0000
Tb 0.5000 0.5000 0.5000
Co 0.2428 0.2428 0.2428
Co 0.7572 0.7572 0.7572
Cl 0.1146 0.7778 0.4520
Cl 0.2222 0.5480 0.8854
Cl 0.3150 0.3150 0.3150
Cl 0.4520 0.1146 0.7778
Cl 0.5480 0.8854 0.2222
Cl 0.6850 0.6850 0.6850
Cl 0.7778 0.4520 0.1146
Cl 0.8854 0.2222 0.5480

Values from the calculation:
- symmetry = R-3, No. 148
- spin magnetization (μB/f.u.) = 6.00
- energy (eV for the cell shown) = -50.9
- density (g cm⁻³) = 3.082
- raw formation energy (eV per atom) = -1.3716


Below is Cs2CoTcCl6 after structural relaxation, with properties calculated at the GGA-PBE level.

a = 7.1153 Å, b = 7.1153 Å, c = 7.1153 Å
α = 120.05°, β = 120.05°, γ = 89.91°
Positions (direct):
Cs 0.2500 0.7500 0.5000
Cs 0.7500 0.2500 0.5000
Co 0.0000 0.0000 0.0000
Tc 0.5000 0.5000 0.0000
Cl 0.2530 0.2530 0.5059
Cl 0.2530 0.7470 0.0000
Cl 0.2535 0.2535 0.0000
Cl 0.7465 0.7465 0.0000
Cl 0.7470 0.2530 0.0000
Cl 0.7470 0.7470 0.4941

Values from the calculation:
- DOS at the Fermi energy (states/eV per atom) = 2.0006
- symmetry = I4/mmm, No. 139
- spin magnetization (μB/f.u.) = 4.65
- energy (eV for the cell shown) = -40.2
- density (g cm⁻³) = 4.146
- raw formation energy (eV per atom) = -0.9972


Below is CsCo2TcCl8 after structural relaxation, with properties calculated at the GGA-PBE level.

a = 10.2488 Å, b = 10.2488 Å, c = 10.2488 Å
α = 40.16°, β = 40.16°, γ = 40.16°
Positions (direct):
Cs 0.0000 0.0000 0.0000
Co 0.2354 0.2354 0.2354
Co 0.7646 0.7646 0.7646
Tc 0.5000 0.5000 0.5000
Cl 0.1404 0.5991 0.5991
Cl 0.3135 0.3135 0.3135
Cl 0.4009 0.4009 0.8596
Cl 0.4009 0.8596 0.4009
Cl 0.5991 0.1404 0.5991
Cl 0.5991 0.5991 0.1404
Cl 0.6865 0.6865 0.6865
Cl 0.8596 0.4009 0.4009

Values from the calculation:
- DOS at the Fermi energy (states/eV per atom) = 0.1812
- symmetry = R-3m, No. 166
- spin magnetization (μB/f.u.) = 8.00
- energy (eV for the cell shown) = -49.0
- density (g cm⁻³) = 2.602
- raw formation energy (eV per atom) = -0.7330


Below is CsCoTeCl6 after structural relaxation, with properties calculated at the GGA-PBE level.

a = 6.7449 Å, b = 6.7911 Å, c = 7.6325 Å
α = 90.76°, β = 91.18°, γ = 116.54°
Positions (direct):
Cs 0.0000 0.0000 0.0000
Co 0.3299 0.6794 0.5014
Te 0.6665 0.3364 0.5004
Cl 0.0143 0.3862 0.6804
Cl 0.0446 0.6513 0.3124
Cl 0.3572 0.9607 0.6940
Cl 0.3683 0.3874 0.3146
Cl 0.6144 0.6335 0.6839
Cl 0.6193 0.9883 0.3252

Values from the calculation:
- DOS at the Fermi energy (states/eV per atom) = 0.8896
- symmetry = P1, No. 1
- spin magnetization (μB/f.u.) = 1.97
- energy (eV for the cell shown) = -29.4
- density (g cm⁻³) = 2.827
- raw formation energy (eV per atom) = -0.8073


Below is Cs2CoTeCl6 after structural relaxation, with properties calculated at the GGA-PBE level.

a = 7.5582 Å, b = 7.5582 Å, c = 7.5582 Å
α = 119.04°, β = 119.04°, γ = 91.67°
Positions (direct):
Cs 0.2500 0.7500 0.5000
Cs 0.7500 0.2500 0.5000
Co 0.0000 0.0000 0.0000
Te 0.5000 0.5000 0.0000
Cl 0.2164 0.2164 0.4327
Cl 0.2164 0.7836 0.0000
Cl 0.2563 0.2563 0.0000
Cl 0.7437 0.7437 0.0000
Cl 0.7836 0.2164 0.0000
Cl 0.7836 0.7836 0.5673

Values from the calculation:
- DOS at the Fermi energy (states/eV per atom) = 0.0005
- symmetry = I4/mmm, No. 139
- spin magnetization (μB/f.u.) = 1.00
- energy (eV for the cell shown) = -33.3
- density (g cm⁻³) = 3.567
- raw formation energy (eV per atom) = -1.0270


Below is CsThCo2Cl8 after structural relaxation, with properties calculated at the GGA-PBE level.

a = 11.3308 Å, b = 11.3308 Å, c = 11.3308 Å
α = 33.41°, β = 33.41°, γ = 33.41°
Positions (direct):
Cs 0.0000 0.0000 0.0000
Th 0.5000 0.5000 0.5000
Co 0.2469 0.2469 0.2469
Co 0.7531 0.7531 0.7531
Cl 0.1107 0.7815 0.4577
Cl 0.2185 0.5423 0.8893
Cl 0.3152 0.3152 0.3152
Cl 0.4577 0.1107 0.7815
Cl 0.5423 0.8893 0.2185
Cl 0.6848 0.6848 0.6848
Cl 0.7815 0.4577 0.1107
Cl 0.8893 0.2185 0.5423

Values from the calculation:
- DOS at the Fermi energy (states/eV per atom) = 0.5425
- symmetry = R-3, No. 148
- spin magnetization (μB/f.u.) = 5.00
- energy (eV for the cell shown) = -53.4
- density (g cm⁻³) = 3.241
- raw formation energy (eV per atom) = -1.3444